1.
DFT (GGA-PBE) results for an optimized crystal structure of TiPdRh3.

Unit cell a=4.6792 b=4.6792 c=4.6792 alpha=90.00 beta=90.00 gamma=90.00
Closest atoms and distances in Å follow each position.
Positions (direct):
Ti 0.0000 0.0000 0.0000  12 Rh 3.31
Pd 0.5000 0.5000 0.5000  6 Rh 2.34
Rh 0.0000 0.5000 0.5000  2 Pd 2.34
Rh 0.5000 0.0000 0.5000  2 Pd 2.34
Rh 0.5000 0.5000 0.0000  2 Pd 2.34

Values from the calculation:
Formation energy ... 6.91 eV per formula unit
Total DFT energy (no corrections) ... -5.65 eV/atom
Crystal system ... cubic

***

2.
DFT (GGA-PBE) results for an optimized crystal structure of TiPd2Rh2.

Unit cell a=6.3179 b=6.3179 c=3.9982 alpha=90.00 beta=90.00 gamma=90.00
Closest atoms and distances in Å follow each position.
Positions (direct):
Ti 0.0000 0.0000 0.0000  4 Rh 2.43
Ti 0.5000 0.5000 0.0000  4 Rh 2.43
Pd 0.1612 0.3388 0.5000  6 Rh 2.66-2.77, 1 Pd 2.88
Pd 0.3388 0.8388 0.5000  6 Rh 2.66-2.77, 1 Pd 2.88
Pd 0.6612 0.1612 0.5000  6 Rh 2.66-2.77, 1 Pd 2.88
Pd 0.8388 0.6612 0.5000  6 Rh 2.66-2.77, 1 Pd 2.88
Rh 0.1417 0.6417 0.0000  2 Ti 2.43, 1 Rh 2.53, 2 Pd 2.66
Rh 0.3583 0.1417 0.0000  2 Ti 2.43, 1 Rh 2.53, 2 Pd 2.66
Rh 0.6417 0.8583 0.0000  2 Ti 2.43, 1 Rh 2.53, 2 Pd 2.66
Rh 0.8583 0.3583 0.0000  2 Ti 2.43, 1 Rh 2.53, 2 Pd 2.66

Values from the calculation:
Formation energy ... -0.87 eV per formula unit
Total DFT energy (no corrections) ... -6.77 eV/atom
Crystal system ... tetragonal

***

3.
DFT (GGA-PBE) results for an optimized crystal structure of Ti7Pd3Rh2.

Unit cell a=10.9333 b=10.9333 c=4.3955 alpha=90.00 beta=90.00 gamma=157.02
Closest atoms and distances in Å follow each position.
Positions (direct):
Ti 0.0000 0.0000 0.0000  8 Ti 2.69-2.83
Ti 0.0830 0.9170 0.5000  2 Rh 2.63, 4 Pd 2.65-2.81, 2 Ti 2.83
Ti 0.2855 0.7145 0.0000  2 Pd 2.55, 2 Rh 2.57, 2 Ti 2.66
Ti 0.4263 0.5737 0.0000  2 Ti 2.69, 4 Pd 2.71-2.79, 2 Rh 2.73
Ti 0.5737 0.4263 0.0000  2 Ti 2.69, 4 Pd 2.71-2.79, 2 Rh 2.73
Ti 0.7145 0.2855 0.0000  2 Pd 2.55, 2 Rh 2.57, 2 Ti 2.66
Ti 0.9170 0.0830 0.5000  2 Rh 2.63, 4 Pd 2.65-2.81, 2 Ti 2.83
Pd 0.3463 0.6537 0.5000  6 Ti 2.55-2.79
Pd 0.5000 0.5000 0.5000  8 Ti 2.71-2.81
Pd 0.6537 0.3463 0.5000  6 Ti 2.55-2.79
Rh 0.1507 0.8493 0.0000  6 Ti 2.57-2.73
Rh 0.8493 0.1507 0.0000  6 Ti 2.57-2.73

Values from the calculation:
Formation energy ... -2.75 eV per formula unit
Total DFT energy (no corrections) ... -7.36 eV/atom
Crystal system ... orthorhombic

***

4.
DFT (GGA-PBE) results for an optimized crystal structure of Ti2Pd3Rh.

Unit cell a=6.2429 b=6.2429 c=8.8722 alpha=114.60 beta=114.60 gamma=36.32
Closest atoms and distances in Å follow each position.
Positions (direct):
Ti 0.0203 0.0203 0.3555  4 Pd 2.58-2.73, 4 Rh 2.72-2.84, 1 Ti 2.81
Ti 0.2825 0.2825 0.6364  4 Pd 2.62-2.81, 3 Rh 2.62-2.84
Ti 0.7175 0.7175 0.3636  4 Pd 2.62-2.81, 3 Rh 2.62-2.84
Ti 0.9797 0.9797 0.6445  4 Pd 2.58-2.73, 4 Rh 2.72-2.84, 1 Ti 2.81
Pd 0.1267 0.1267 0.1381  3 Ti 2.66-2.73, 8 Pd 2.74-2.93, 1 Rh 2.78
Pd 0.2084 0.2084 0.8745  2 Ti 2.58-2.62, 7 Pd 2.79-2.89, 2 Rh 2.85
Pd 0.4627 0.4627 0.1351  3 Ti 2.63-2.81, 8 Pd 2.74-2.92, 1 Rh 2.87
Pd 0.5373 0.5373 0.8649  3 Ti 2.63-2.81, 8 Pd 2.74-2.92, 1 Rh 2.87
Pd 0.7916 0.7916 0.1255  2 Ti 2.58-2.62, 7 Pd 2.79-2.89, 2 Rh 2.85
Pd 0.8733 0.8733 0.8619  3 Ti 2.66-2.73, 8 Pd 2.74-2.93, 1 Rh 2.78
Rh 0.3721 0.3721 0.3870  7 Ti 2.62-2.84, 4 Pd 2.78-2.87, 1 Rh 2.81
Rh 0.6279 0.6279 0.6130  7 Ti 2.62-2.84, 4 Pd 2.78-2.87, 1 Rh 2.81

Values from the calculation:
Formation energy ... -3.27 eV per formula unit
Total DFT energy (no corrections) ... -7.00 eV/atom
Crystal system ... monoclinic

***

5.
DFT (GGA-PBE) results for an optimized crystal structure of Ti2PdRh2.

Unit cell a=6.7255 b=6.7255 c=6.7255 alpha=147.94 beta=147.94 gamma=45.98
Closest atoms and distances in Å follow each position.
Positions (direct):
Ti 0.1134 0.1134 0.0000  4 Rh 2.51, 1 Ti 2.81
Ti 0.8866 0.8866 0.0000  4 Rh 2.51, 1 Ti 2.81
Pd 0.5000 0.5000 0.0000  8 Ti 2.98
Rh 0.2500 0.7500 0.5000  4 Ti 2.51, 4 Rh 2.63
Rh 0.7500 0.2500 0.5000  4 Ti 2.51, 4 Rh 2.63

Values from the calculation:
Formation energy ... -1.16 eV per formula unit
Total DFT energy (no corrections) ... -7.37 eV/atom
Crystal system ... tetragonal

***

6.
DFT (GGA-PBE) results for an optimized crystal structure of TiPdRh.

Unit cell a=4.3901 b=4.3901 c=5.3989 alpha=90.00 beta=90.00 gamma=119.87
Closest atoms and distances in Å follow each position.
Positions (direct):
Ti 0.1672 0.8328 0.7500  5 Rh 2.54-2.70
Ti 0.8328 0.1672 0.2500  5 Rh 2.54-2.70
Pd 0.5000 0.5000 0.0000  2 Pd 2.70, 6 Ti 2.87-2.88, 6 Rh 2.87
Pd 0.5000 0.5000 0.5000  2 Pd 2.70, 6 Ti 2.87-2.88, 6 Rh 2.87
Rh 0.1665 0.8335 0.2500  5 Ti 2.54-2.70
Rh 0.8335 0.1665 0.7500  5 Ti 2.54-2.70

Values from the calculation:
Formation energy ... -1.94 eV per formula unit
Total DFT energy (no corrections) ... -7.46 eV/atom
Crystal system ... orthorhombic

***

What is the formula in the fourth record?
Ti2Pd3Rh